Material: PuBeRh
Method: DFT, PBE-GGA
State: relaxed

Cell: 3.0217 3.0217 10.4102 Å, 90.00 90.00 90.00°
Sites, in units of the cell vectors:
Pu1 0.0000 0.0000 0.0000
Pu2 0.5000 0.5000 0.5000
Be1 0.0000 0.0000 0.2978
Be2 0.5000 0.5000 0.7978
Rh1 0.0000 0.0000 0.7139
Rh2 0.5000 0.5000 0.2139

Results
E above lowest polymorph ... 13.6 kJ/mol of formula units
Energy relative to the elements ... -30.03 kJ per mole of atoms
Total DFT energy (no corrections) ... -8.781 eV/atom